Material: CsKZn2Pt
Method: DFT, PBE
State: optimized geometry

Lattice parameters (Å, degrees): 5.1213 5.1213 5.9245 90.00 90.00 90.00
With the nearest neighbours (Å) after each atom.
Sites, in units of the cell vectors:
Zn 0.5000 0.0000 0.0000  2 Pt 2.56
Zn 0.0000 0.5000 0.0000  2 Pt 2.56
Pt 0.0000 0.0000 0.0000  4 Zn 2.56
Cs 0.5000 0.5000 0.5000  4 K 3.62, 8 Zn 3.92
K 0.0000 0.0000 0.5000  2 Pt 2.96

- calculated formation energy (eV per atom) = -0.1023
- symmetry = P4/mmm (123)


Material: Sm4TlIn2
Method: DFT, PBE
State: optimized geometry

Lattice parameters (Å, degrees): 7.4756 6.7043 9.7233 90.00 116.59 90.00
With the nearest neighbours (Å) after each atom.
Sites, in units of the cell vectors:
In 0.2256 0.2500 0.9404  1 Tl 2.88, 2 Sm 3.21
Sm 0.5574 0.0066 0.2243  1 Tl 3.08, 4 In 3.21-3.42, 2 Sm 3.26-3.44
Sm 0.4426 0.9934 0.7757  1 Tl 3.08, 4 In 3.21-3.42, 2 Sm 3.26-3.44
Tl 0.2045 0.7500 0.2022  2 In 2.88-3.21, 4 Sm 3.08-3.19
Sm 0.0362 0.7500 0.4486  1 Tl 3.17, 1 In 3.39
In 0.7744 0.7500 0.0596  1 Tl 2.88, 2 Sm 3.21
In 0.4120 0.2500 0.4668  1 Tl 3.21, 5 Sm 3.24-3.42, 2 In 3.55
In 0.5880 0.7500 0.5332  1 Tl 3.21, 5 Sm 3.24-3.42, 2 In 3.55
Sm 0.9834 0.2500 0.1644  1 Tl 3.19, 2 In 3.24-3.40
Sm 0.0166 0.7500 0.8356  1 Tl 3.19, 2 In 3.24-3.40
Sm 0.4426 0.5066 0.7757  1 Tl 3.08, 4 In 3.21-3.42, 2 Sm 3.26-3.44
Tl 0.7955 0.2500 0.7978  2 In 2.88-3.21, 4 Sm 3.08-3.19
Sm 0.5574 0.4934 0.2243  1 Tl 3.08, 4 In 3.21-3.42, 2 Sm 3.26-3.44
Sm 0.9638 0.2500 0.5514  1 Tl 3.17, 1 In 3.39

- calculated formation energy (eV per atom) = -0.1940
- offset from the most stable computed form (eV per formula unit) = 0.680
- symmetry = P2_1/m (11)


Material: TlTc3
Method: DFT, PBE
State: optimized geometry

Lattice parameters (Å, degrees): 5.0813 5.0813 5.0813 90.00 90.00 90.00
With the nearest neighbours (Å) after each atom.
Sites, in units of the cell vectors:
Tl 0.0000 0.0000 0.0000  12 Tc 2.84
Tc 0.5000 0.0000 0.7500  2 Tc 2.54, 4 Tl 2.84
Tc 0.7500 0.5000 0.0000  2 Tc 2.54, 4 Tl 2.84
Tc 0.0000 0.2500 0.5000  2 Tc 2.54, 4 Tl 2.84
Tc 0.5000 0.0000 0.2500  2 Tc 2.54, 4 Tl 2.84
Tc 0.2500 0.5000 0.0000  2 Tc 2.54, 4 Tl 2.84
Tc 0.0000 0.7500 0.5000  2 Tc 2.54, 4 Tl 2.84
Tl 0.5000 0.5000 0.5000  12 Tc 2.84

- calculated formation energy (eV per atom) = 0.6282
- offset from the most stable computed form (eV per formula unit) = 0.855
- symmetry = Pm-3n (223)


Material: Th6GeOs3Se2
Method: DFT, PBE
State: optimized geometry

Lattice parameters (Å, degrees): 4.1535 8.6422 9.5661 105.94 102.54 90.00
With the nearest neighbours (Å) after each atom.
Sites, in units of the cell vectors:
Th 0.3282 0.9305 0.6565  3 Os 2.86-2.88, 1 Ge 3.09, 2 Se 3.15
Th 0.6718 0.0695 0.3435  3 Os 2.86-2.88, 1 Ge 3.09, 2 Se 3.15
Os 0.8315 0.1629 0.6629  6 Th 2.84-2.90
Se 0.8305 0.6578 0.6610  6 Th 3.12-3.17
Th 0.3418 0.3927 0.6836  3 Os 2.84, 3 Se 3.12-3.14
Os 0.5000 0.5000 0.0000  6 Th 2.84-2.89
Th 0.0066 0.7363 0.0132  3 Os 2.89-2.90, 2 Ge 3.11, 1 Se 3.17
Se 0.1695 0.3422 0.3390  6 Th 3.12-3.17
Th 0.6582 0.6073 0.3164  3 Os 2.84, 3 Se 3.12-3.14
Os 0.1685 0.8371 0.3371  6 Th 2.84-2.90
Th 0.9934 0.2637 0.9868  3 Os 2.89-2.90, 2 Ge 3.11, 1 Se 3.17
Ge 0.5000 0.0000 0.0000  6 Th 3.09-3.11

- raw formation energy (eV/atom) = -0.81
- symmetry = C2/m (12)


Material: Ho2InRu
Method: DFT, PBE
State: optimized geometry

Lattice parameters (Å, degrees): 3.5387 3.5387 9.2933 79.02 79.02 60.00
With the nearest neighbours (Å) after each atom.
Sites, in units of the cell vectors:
Ho 0.7365 0.7365 0.7904  3 Ru 2.79
Ho 0.2635 0.2635 0.2096  3 Ru 2.79
In 0.5000 0.5000 0.5000  6 Ho 3.33, 6 In 3.54
Ru 0.0000 0.0000 0.0000  6 Ho 2.79

- calculated formation energy (eV per atom) = -0.2478
- offset from the most stable computed form (eV per formula unit) = 0.936
- symmetry = R-3m (166)


Material: KCd2GePd
Method: DFT, PBE
State: optimized geometry

Lattice parameters (Å, degrees): 5.3172 5.3172 4.8415 90.00 90.00 90.00
With the nearest neighbours (Å) after each atom.
Sites, in units of the cell vectors:
K 0.5000 0.5000 0.5000  8 Cd 3.60, 4 Ge 3.76
Cd 0.5000 0.0000 0.0000  2 Pd 2.66
Ge 0.0000 0.0000 0.5000  2 Pd 2.42
Cd 0.0000 0.5000 0.0000  2 Pd 2.66
Pd 0.0000 0.0000 0.0000  2 Ge 2.42, 4 Cd 2.66

- calculated formation energy (eV per atom) = -0.1198
- symmetry = P4/mmm (123)


> Number 6 is which compound?

KCd2GePd